# 1
Entry from Alexandria: an optimized crystal structure of SrCdSbH2 (PBE).

Total moment, Bohr magnetons per cell: 0.000
D(E_F), states/eV/cell: 3.16
Density, Mg/m³: 5.6
Energy, eV per atom: -2.95

Lattice parameters (Å, degrees): 4.7160 11.6904 6.9306 90.00 90.00 90.00
Last column: nearest neighbours and their distance in Å.
Space group Cmcm (No. 63)
One atom of each set of equivalent atoms:
Sr 0.0000 0.2213 0.2500 [4 per cell]  6 H 2.52-2.77
Cd 0.0000 0.5000 0.0000 [4 per cell]  2 H 2.00
Sb 0.0000 0.0608 0.7500 [4 per cell]  4 Cd 3.01, 1 Sr 3.30
H 0.0000 0.3324 0.5610 [8 per cell]  1 Cd 2.00

=====

# 2
Entry from Alexandria: an optimized crystal structure of SrCd2SbH (PBE).

Total moment, Bohr magnetons per cell: 0.000
D(E_F), states/eV/cell: 1.21
Density, Mg/m³: 6.4
Energy, eV per atom: -2.44

Lattice parameters (Å, degrees): 4.8102 4.8102 4.9058 90.00 90.00 90.00
Last column: nearest neighbours and their distance in Å.
Space group P4/mmm (No. 123)
One atom of each set of equivalent atoms:
Sr 0.0000 0.0000 0.0000 [1 per cell]  2 H 2.45
Cd 0.0000 0.5000 0.5000 [2 per cell]  2 H 2.41
Sb 0.5000 0.5000 0.0000 [1 per cell]  4 Sr 3.40, 8 Cd 3.44
H 0.0000 0.0000 0.5000 [1 per cell]  4 Cd 2.41, 2 Sr 2.45

=====

# 3
Entry from Alexandria: an optimized crystal structure of SrCdSbH (PBE).

Total moment, Bohr magnetons per cell: 0.000
Density, Mg/m³: 5.2
Energy, eV per atom: -3.06

Lattice parameters (Å, degrees): 4.6934 4.6934 32.4747 90.00 90.00 120.00
Last column: nearest neighbours and their distance in Å.
Space group R-3m (No. 166, hexagonal axes)
One atom of each set of equivalent atoms:
Sr 0.0000 0.0000 0.0000 [3 per cell]  6 Sb 3.38
Sr 0.0000 0.0000 0.5000 [3 per cell]  6 H 2.76
Cd 0.0000 0.0000 0.2425 [6 per cell]  1 H 1.93
Sb 0.0000 0.0000 0.3958 [6 per cell]  3 Cd 2.86
H 0.0000 0.0000 0.1832 [6 per cell]  1 Cd 1.93

=====

# 4
Entry from Alexandria: an optimized crystal structure of CdSb2TeH (PBE).

Total moment, Bohr magnetons per cell: 0.000
D(E_F), states/eV/cell: 2.76
Relative energy among the computed polymorphs, kJ/mol of formula units: 0
Density, Mg/m³: 6.6

Lattice parameters (Å, degrees): 4.3616 4.3616 6.3798 90.00 90.00 90.00
Last column: nearest neighbours and their distance in Å.
Space group P4/mmm (No. 123)
One atom of each set of equivalent atoms:
Cd 0.0000 0.0000 0.0000 [1 per cell]  4 Te 3.08
Sb 0.0000 0.5000 0.5000 [2 per cell]  2 H 2.18
Te 0.5000 0.5000 0.0000 [1 per cell]  4 Cd 3.08, 2 H 3.19
H 0.5000 0.5000 0.5000 [1 per cell]  4 Sb 2.18

=====

# 5
Entry from Alexandria: an optimized crystal structure of CdSb2TeH (PBE).

Total moment, Bohr magnetons per cell: 1.006
D(E_F), states/eV/cell: 3.50
Relative energy among the computed polymorphs, kJ/mol of formula units: 330
Density, Mg/m³: 4.5

Lattice parameters (Å, degrees): 5.5705 5.5705 5.7453 90.00 90.00 90.00
Last column: nearest neighbours and their distance in Å.
Space group P4/mmm (No. 123)
One atom of each set of equivalent atoms:
Cd 0.0000 0.0000 0.0000 [1 per cell]  4 Sb 2.79, 2 Te 2.87
Sb 0.0000 0.5000 0.0000 [2 per cell]  2 Cd 2.79
Te 0.0000 0.0000 0.5000 [1 per cell]  2 Cd 2.87
H 0.5000 0.5000 0.5000 [1 per cell]  4 Te 3.94, 8 Sb 4.00

=====

# 6
Entry from Alexandria: an optimized crystal structure of TlCd2SbH (PBE).

Total moment, Bohr magnetons per cell: 0.000
D(E_F), states/eV/cell: 2.95
Density, Mg/m³: 7.4
Energy, eV per atom: -1.90

Lattice parameters (Å, degrees): 5.7458 5.7458 3.7274 90.00 90.00 90.00
Last column: nearest neighbours and their distance in Å.
Space group P4/mmm (No. 123)
One atom of each set of equivalent atoms:
Tl 0.0000 0.0000 0.0000 [1 per cell]  2 H 1.86
Cd 0.0000 0.5000 0.0000 [2 per cell]  2 Tl 2.87
Sb 0.5000 0.5000 0.5000 [1 per cell]  8 Cd 3.42, 2 Sb 3.73
H 0.0000 0.0000 0.5000 [1 per cell]  2 Tl 1.86

=====

# 7
Entry from Alexandria: an optimized crystal structure of Sc12Cd3H5 (PBE).

Total moment, Bohr magnetons per cell: 0.002
D(E_F), states/eV/cell: 141.32
Density, Mg/m³: 3.9
Energy, eV per atom: -4.95

Lattice parameters (Å, degrees): 14.4242 14.4242 14.4242 90.00 90.00 90.00
Last column: nearest neighbours and their distance in Å.
Space group Ia-3d (No. 230)
One atom of each set of equivalent atoms:
Sc 0.0456 0.0519 0.6487 [96 per cell]  1 H 2.00
Cd 0.0000 0.2500 0.1250 [24 per cell]  8 Sc 2.95-2.96
H 0.0000 0.0000 0.0000 [16 per cell]  6 Sc 2.37
H 0.0000 0.2500 0.3750 [24 per cell]  4 Sc 2.00

=====

# 8
Entry from Alexandria: an optimized crystal structure of Sc2CdH2 (PBE).

Total moment, Bohr magnetons per cell: 0.000
D(E_F), states/eV/cell: 3.10
Density, Mg/m³: 4.8
Energy, eV per atom: -4.62

Lattice parameters (Å, degrees): 3.5085 3.5085 11.3923 90.00 90.00 90.00
Last column: nearest neighbours and their distance in Å.
Space group I4/mmm (No. 139)
One atom of each set of equivalent atoms:
Sc 0.0000 0.0000 0.1573 [4 per cell]  4 H 2.05
Cd 0.0000 0.0000 0.5000 [2 per cell]  8 Sc 3.06, 8 H 3.34
H 0.0000 0.5000 0.2500 [4 per cell]  4 Sc 2.05